VASP calculation (PBEsol) on NaSc2Cl after structural relaxation.

Structure (POSCAR):
```
NaSc2Cl
1.0
1.621 0.936 10.376
-1.621 0.936 10.376
0.000 -1.872 10.376
Na Sc Cl
1 2 1
Cartesian
0.000 0.000 0.000
0.000 0.000 3.222
0.000 0.000 27.907
0.000 0.000 15.564
```

Computed properties:
formation energy from raw total energies: -322 meV per atom
calculated volume: 94.42 Å³/cell
VASP energy: -4.476 eV/atom
symmetry: No. 166

***

VASP calculation (PBEsol) on NaScCl4 after structural relaxation.

Structure (POSCAR):
```
NaScCl4
1.0
6.192 0.000 0.000
0.000 15.436 0.000
0.000 0.000 6.320
Na Sc Cl
4 4 16
Cartesian
0.000 2.773 1.580
0.000 12.664 4.740
3.096 4.945 4.740
3.096 10.491 1.580
0.000 6.633 1.580
0.000 8.803 4.740
3.096 1.085 4.740
3.096 14.351 1.580
1.393 6.959 3.621
1.393 8.478 0.462
1.464 4.972 0.679
1.464 10.464 3.839
1.632 2.746 3.839
1.632 12.690 0.679
1.703 0.760 0.462
1.703 14.677 3.621
4.490 0.760 2.698
4.490 14.677 5.858
4.560 2.746 5.641
4.560 12.690 2.481
4.729 4.972 2.481
4.729 10.464 5.641
4.799 6.959 5.858
4.799 8.478 2.698
```

Computed properties:
formation energy from raw total energies: -2010 meV per atom
calculated volume: 604.06 Å³/cell
VASP energy: -4.683 eV/atom
symmetry: No. 60

***

VASP calculation (PBEsol) on NaSm2Cl6 after structural relaxation.

Structure (POSCAR):
```
NaSm2Cl6
1.0
13.577 0.000 0.000
-6.789 11.758 0.000
0.000 0.000 3.743
Na Sm Cl
3 6 18
Cartesian
0.000 0.000 0.000
0.000 7.839 0.005
6.789 3.919 1.867
-4.526 7.850 0.953
2.253 3.913 0.953
4.515 0.007 2.828
2.273 11.752 0.953
4.538 7.845 2.828
11.313 3.906 2.828
-4.744 9.931 2.824
-2.619 6.996 2.826
0.560 2.685 2.824
-0.581 5.152 0.957
2.603 0.857 0.955
-2.037 9.685 0.957
2.040 5.992 2.826
4.173 3.079 2.826
0.580 10.529 2.826
6.208 1.230 0.955
2.617 8.679 0.957
4.749 5.767 0.955
8.824 2.075 2.826
4.183 10.901 2.824
7.368 6.605 2.826
6.229 9.076 0.955
9.408 4.762 0.955
11.534 1.825 0.955
```

Computed properties:
formation energy from raw total energies: -2063 meV per atom
calculated volume: 597.52 Å³/cell
VASP energy: -4.689 eV/atom
symmetry: No. 143

***

VASP calculation (PBEsol) on Na2SnCl after structural relaxation.

Structure (POSCAR):
```
Na2SnCl
1.0
0.000 3.763 3.763
3.763 0.000 3.763
3.763 3.763 0.000
Na Sn Cl
2 1 1
Cartesian
1.882 1.882 1.882
5.645 5.645 5.645
0.000 0.000 0.000
3.763 3.763 3.763
```

Computed properties:
formation energy from raw total energies: -299 meV per atom
calculated volume: 106.61 Å³/cell
VASP energy: -2.566 eV/atom
symmetry: No. 225

***

VASP calculation (PBEsol) on NaTc3Cl after structural relaxation.

Structure (POSCAR):
```
NaTc3Cl
1.0
4.870 0.000 0.000
0.000 4.870 0.000
0.000 0.000 4.870
Na Tc Cl
1 3 1
Cartesian
0.000 0.000 0.000
0.000 0.000 2.435
0.000 2.435 0.000
2.435 0.000 0.000
2.435 2.435 2.435
```

Computed properties:
formation energy from raw total energies: 3060 meV per atom
calculated volume: 115.52 Å³/cell
VASP energy: -4.382 eV/atom
symmetry: No. 221

***

VASP calculation (PBEsol) on NaTcCl3 after structural relaxation.

Structure (POSCAR):
```
NaTcCl3
1.0
4.813 0.000 0.000
0.000 4.813 0.000
0.000 0.000 4.813
Na Tc Cl
1 1 3
Cartesian
0.000 0.000 0.000
2.406 2.406 2.406
0.000 2.406 2.406
2.406 0.000 2.406
2.406 2.406 0.000
```

Computed properties:
formation energy from raw total energies: -649 meV per atom
calculated volume: 111.47 Å³/cell
VASP energy: -4.387 eV/atom
symmetry: No. 221